Compound: LiTe2
Source: Alexandria via LeMat-Bulk
Functional: PBE-GGA
Structure: optimized geometry

Values from the calculation:
Excess energy over the best structure of this formula in the dataset = 75 meV/atom
Final energy = -9.361 eV/cell
Formation energy (no corrections) = -388 meV/atom

Cell: 3.873 3.873 6.166 Å, 108.55 108.55 90.19°
Element x y z (fractional)
1 Te 0.127 0.127 0.249
2 Te 0.873 0.873 0.751
3 Li 0.500 0.500 0.000

=====

Compound: SmAgPt
Source: Alexandria via LeMat-Bulk
Functional: PBE-GGA
Structure: optimized geometry

Values from the calculation:
ΔH_f (0 K) = -0.680 eV/atom
Excess energy over the best structure of this formula in the dataset = 103 meV/atom
Final energy = -62.606 eV/cell

Cell: 5.394 5.873 8.400 Å, 92.50 101.40 86.49°
Element x y z (fractional)
1 Ag 0.774 0.009 0.741
2 Ag 0.226 0.991 0.259
3 Ag 0.327 0.221 0.565
4 Ag 0.673 0.779 0.435
5 Sm 0.239 0.718 0.614
6 Sm 0.720 0.733 0.066
7 Sm 0.280 0.267 0.934
8 Sm 0.761 0.282 0.386
9 Pt 0.818 0.235 0.051
10 Pt 0.779 0.500 0.731
11 Pt 0.221 0.500 0.269
12 Pt 0.182 0.765 0.949

=====

Compound: SmGa3Cu2
Source: Alexandria via LeMat-Bulk
Functional: PBE-GGA
Structure: optimized geometry

Values from the calculation:
ΔH_f (0 K) = -0.408 eV/atom
Final energy = -73.329 eV/cell

Cell: 4.132 8.346 9.740 Å, 104.50 90.00 104.33°
Element x y z (fractional)
1 Ga 0.783 0.567 0.635
2 Ga 0.633 0.266 0.190
3 Ga 0.500 0.000 0.500
4 Ga 0.048 0.097 0.356
5 Ga 0.350 0.701 0.059
6 Ga 0.952 0.903 0.644
7 Ga 0.367 0.734 0.810
8 Ga 0.650 0.299 0.941
9 Ga 0.217 0.433 0.365
10 Cu 0.204 0.407 0.090
11 Cu 0.647 0.294 0.453
12 Cu 0.487 0.974 0.235
13 Cu 0.513 0.026 0.765
14 Cu 0.796 0.593 0.910
15 Cu 0.353 0.706 0.547
16 Sm 0.156 0.313 0.706
17 Sm 0.000 0.000 0.000
18 Sm 0.844 0.687 0.294

=====

Compound: InCo2Rh
Source: Alexandria via LeMat-Bulk
Functional: PBE-GGA
Structure: optimized geometry

Values from the calculation:
ΔH_f (0 K) = 0.258 eV/atom
Final energy = -23.269 eV/cell

Cell: 8.454 8.454 8.454 Å, 19.40 19.40 19.40°
Each line ends with the local moment (μB).
Element x y z (fractional)
1 In 0.502 0.502 0.502  -0.06
2 Co 0.258 0.258 0.258  1.56
3 Co 0.996 0.996 0.996  1.93
4 Rh 0.744 0.744 0.744  0.41